Entry 1:
{
  "formula": "ZnRe2Ge",
  "functional": "GGA-PBE",
  "state": "relaxed",
  "cell": [[-3.5727, 3.5727, 2.5690], [3.5727, -3.5727, 2.5690], [3.5727, 3.5727, -2.5690]],
  "species": ["Zn", "Zn", "Re", "Re", "Re", "Re", "Ge", "Ge"],
  "fractional_positions": [[0.0000, 0.0000, 0.0000], [0.7500, 0.2500, 0.5000], [0.1582, 0.6250, 0.0332], [0.3750, 0.4082, 0.5332], [0.5918, 0.1250, 0.9668], [0.8750, 0.8418, 0.4668], [0.2500, 0.7500, 0.5000], [0.5000, 0.5000, 0.0000]],
  "relative_energy_ev_per_fu": 1.70,
  "e_form_ev_per_atom": 0.87
}

***

Entry 2:
{
  "formula": "Zn2ReGe",
  "functional": "GGA-PBE",
  "state": "relaxed",
  "cell": [[-3.6486, 3.6486, 2.4881], [3.6486, -3.6486, 2.4881], [3.6486, 3.6486, -2.4881]],
  "species": ["Zn", "Zn", "Zn", "Zn", "Re", "Re", "Ge", "Ge"],
  "fractional_positions": [[0.1212, 0.6250, 0.9962], [0.3750, 0.3712, 0.4962], [0.6288, 0.1250, 0.0038], [0.8750, 0.8788, 0.5038], [0.0000, 0.0000, 0.0000], [0.7500, 0.2500, 0.5000], [0.2500, 0.7500, 0.5000], [0.5000, 0.5000, 0.0000]],
  "e_form_ev_per_atom": 0.60
}

***

Question: What is the formula in the first record?
Answer: ZnRe2Ge